A geometry-optimized YSbP2 structure, computed with PBE-GGA.

a = 5.494 Å, b = 5.494 Å, c = 5.494 Å
α = 134.18°, β = 134.18°, γ = 66.81°
Fractional positions:
P 0.000 0.000 0.000
Y 0.750 0.250 0.500
Sb 0.250 0.750 0.500
P 0.500 0.500 0.000

Computed properties:
Theoretical density (Mg/m³): 5.40
Symmetry: I4/mmm (139)
E_tot (eV per atom): -5.53

A geometry-optimized TaCr2Mo structure, computed with PBE-GGA.

a = 2.716 Å, b = 2.716 Å, c = 8.396 Å
α = 90.00°, β = 90.00°, γ = 110.66°
Fractional positions:
Cr 0.000 0.000 0.493
Mo 0.500 0.500 0.250
Ta 0.500 0.500 0.750
Cr 0.000 0.000 0.007

Computed properties:
Energy of formation from the pure elements (kJ/mol of atoms): 10
ΔE to the lowest computed polymorph (eV/atom): 0.120
Theoretical density (Mg/m³): 10.92
Symmetry: Cmmm (65)

A geometry-optimized CuSeSN2 structure, computed with PBE-GGA.

a = 3.398 Å, b = 3.398 Å, c = 6.755 Å
α = 90.00°, β = 90.00°, γ = 90.00°
Fractional positions:
N 0.500 0.000 0.000
N 0.000 0.500 0.000
S 0.000 0.000 0.000
Cu 0.500 0.500 0.500
Se 0.000 0.000 0.500

Computed properties:
ΔE to the lowest computed polymorph (eV/atom): 0.000
Theoretical density (Mg/m³): 4.31
Symmetry: P4/mmm (123)

Let's list calculated volume in order: 20.98 14.48 15.60 Å³/atom.